# 1
# DyTm3Ru2, relaxed, DFT PBE
data_DyTm3Ru2
_chemical_formula_sum 'Dy4 Tm12 Ru8'
_symmetry_space_group_name_H-M 'I b a m'
_symmetry_Int_Tables_number 72
_symmetry_space_group_name_Hall '-I 2 2c'
_cell_length_a 6.654
_cell_length_b 13.377
_cell_length_c 6.926
_cell_angle_alpha 90.00
_cell_angle_beta 90.00
_cell_angle_gamma 90.00
loop_
_atom_site_label
_atom_site_fract_x
_atom_site_fract_y
_atom_site_fract_z
Dy1 0.000 0.000 0.000
Tm1 0.000 0.236 0.250
Tm2 0.000 0.500 0.250
Ru1 0.220 0.365 0.000
# E_tot	-6.368	eV/atom
# calculated formation energy	-0.27	eV/atom
# excess energy over the best structure of this formula in the dataset	0.75	eV per formula unit
# M_tot	0.00	μB/atom

---

# 2
# DyTm4Ru5, relaxed, DFT PBE
data_DyTm4Ru5
_chemical_formula_sum 'Dy1 Tm4 Ru5'
_symmetry_space_group_name_H-M 'P 4/m m m'
_symmetry_Int_Tables_number 123
_symmetry_space_group_name_Hall '-P 4 2'
_cell_length_a 3.366
_cell_length_b 3.366
_cell_length_c 16.797
_cell_angle_alpha 90.00
_cell_angle_beta 90.00
_cell_angle_gamma 90.00
loop_
_atom_site_label
_atom_site_fract_x
_atom_site_fract_y
_atom_site_fract_z
Dy1 0.000 0.000 0.000
Tm1 0.000 0.000 0.201
Tm2 0.000 0.000 0.400
Ru1 0.500 0.500 0.102
Ru2 0.500 0.500 0.301
Ru3 0.500 0.500 0.500
# E_tot	-7.284	eV/atom
# calculated formation energy	-0.40	eV/atom
# M_tot	0.00	μB/atom

---

# 3
# Dy2TmRu2, relaxed, DFT PBE
data_Dy2TmRu2
_chemical_formula_sum 'Dy8 Tm4 Ru8'
_symmetry_space_group_name_H-M 'P 1 21/c 1'
_symmetry_Int_Tables_number 14
_symmetry_space_group_name_Hall '-P 2ybc'
_cell_length_a 10.248
_cell_length_b 6.693
_cell_length_c 6.710
_cell_angle_alpha 90.00
_cell_angle_beta 90.47
_cell_angle_gamma 90.00
loop_
_atom_site_label
_atom_site_fract_x
_atom_site_fract_y
_atom_site_fract_z
Dy1 0.002 0.250 0.462
Dy2 0.332 0.730 0.475
Tm1 0.336 0.231 0.518
Ru1 0.168 0.003 0.248
Ru2 0.497 0.000 0.250
# E_tot	-6.782	eV/atom
# calculated formation energy	-0.34	eV/atom
# excess energy over the best structure of this formula in the dataset	0.10	eV per formula unit
# M_tot	0.00	μB/atom

---

# 4
# Dy5Tm2Ru4, relaxed, DFT PBE
data_Dy5Tm2Ru4
_chemical_formula_sum 'Dy10 Tm4 Ru8'
_symmetry_space_group_name_H-M 'C 1 2/m 1'
_symmetry_Int_Tables_number 12
_symmetry_space_group_name_Hall '-C 2y'
_cell_length_a 22.371
_cell_length_b 4.344
_cell_length_c 5.651
_cell_angle_alpha 90.00
_cell_angle_beta 91.42
_cell_angle_gamma 90.00
loop_
_atom_site_label
_atom_site_fract_x
_atom_site_fract_y
_atom_site_fract_z
Dy1 0.000 0.000 0.000
Dy2 0.119 0.500 0.036
Dy3 0.232 0.000 0.723
Tm1 0.083 0.000 0.518
Ru1 0.016 0.500 0.716
Ru2 0.163 0.500 0.573
# E_tot	-6.484	eV/atom
# calculated formation energy	-0.21	eV/atom
# M_tot	0.00	μB/atom